(1)
# BaTl8Pt4

A relaxed structure of BaTl8Pt4 (GGA-PBE, Alexandria).

Electronic total energy   -3.55 eV/atom

a b c (Å): 5.919 7.881 7.881
angles (deg): 81.89 67.94 67.94
Fractional positions:
Tl1 0.500 0.218 0.782
Pt1 0.000 0.000 0.500
Ba1 0.000 0.000 0.000
Pt2 0.500 0.000 0.500
Tl2 0.500 0.782 0.218
Tl3 0.344 0.656 0.656
Tl4 0.718 0.782 0.782
Tl5 0.000 0.344 0.656
Tl6 0.656 0.344 0.344
Tl7 0.000 0.656 0.344
Tl8 0.282 0.218 0.218
Pt3 0.500 0.500 0.000
Pt4 0.000 0.500 0.000

(2)
# BaTl2Pt

A relaxed structure of BaTl2Pt (GGA-PBE, Alexandria).

Electronic total energy   -3.38 eV/atom

a b c (Å): 3.740 3.738 7.833
angles (deg): 90.00 90.00 90.00
Fractional positions:
Tl1 0.000 0.000 0.941
Ba1 0.500 0.500 0.250
Pt1 0.500 0.500 0.750
Tl2 0.000 0.000 0.559

(3)
# Ba3Tl4Pt2

A relaxed structure of Ba3Tl4Pt2 (GGA-PBE, Alexandria).

Electronic total energy   -3.50 eV/atom

a b c (Å): 4.540 6.914 10.332
angles (deg): 72.82 77.31 70.83
Fractional positions:
Ba1 0.685 0.250 0.379
Tl1 0.248 0.402 0.102
Tl2 0.016 0.308 0.660
Pt1 0.616 0.035 0.732
Tl3 0.752 0.598 0.898
Ba2 0.315 0.750 0.621
Tl4 0.984 0.692 0.340
Ba3 0.000 0.000 0.000
Pt2 0.384 0.965 0.268

(4)
# Ba2TlPt

A relaxed structure of Ba2TlPt (GGA-PBE, Alexandria).

Energy above the most stable polymorph in this dataset   0.0181 eV per atom

a b c (Å): 5.038 4.671 6.614
angles (deg): 69.30 90.00 90.00
Fractional positions:
Tl1 0.500 0.562 0.751
Pt1 0.000 0.681 0.513
Ba1 0.000 0.990 0.895
Ba2 0.500 0.267 0.340

(5)
# BaTlPt

A relaxed structure of BaTlPt (GGA-PBE, Alexandria).

Electronic total energy   -3.95 eV/atom

a b c (Å): 4.835 4.835 4.569
angles (deg): 90.00 90.00 120.00
Fractional positions:
Ba1 0.000 0.000 0.001
Tl1 0.333 0.667 0.501
Pt1 0.667 0.333 0.499

(6)
# BaTlPt

A relaxed structure of BaTlPt (GGA-PBE, Alexandria).

Electronic total energy   -3.82 eV/atom

a b c (Å): 6.500 6.499 3.783
angles (deg): 73.10 73.06 33.84
Fractional positions:
Pt1 0.311 0.311 0.689
Ba1 0.987 0.987 0.013
Tl1 0.703 0.703 0.297

(7)
# Ba2TlPt

A relaxed structure of Ba2TlPt (GGA-PBE, Alexandria).

Energy above the most stable polymorph in this dataset   0.2145 eV per atom

a b c (Å): 9.042 9.042 7.435
angles (deg): 52.55 52.55 90.00
Fractional positions:
Ba1 0.875 0.820 0.750
Tl1 0.750 0.250 0.500
Ba2 0.180 0.625 0.250
Ba3 0.375 0.430 0.750
Pt1 0.500 0.500 0.000
Ba4 0.570 0.125 0.250
Tl2 0.000 0.000 0.000
Pt2 0.250 0.750 0.500

(8)
# Ba2TlPt2

A relaxed structure of Ba2TlPt2 (GGA-PBE, Alexandria).

Electronic total energy   -4.05 eV/atom

a b c (Å): 3.896 3.896 10.609
angles (deg): 79.42 79.42 90.00
Fractional positions:
Ba1 0.375 0.375 0.251
Tl1 0.000 0.000 0.000
Pt1 0.250 0.750 0.500
Ba2 0.625 0.625 0.749
Pt2 0.750 0.250 0.500

(9)
# Ba5Tl2Pt

A relaxed structure of Ba5Tl2Pt (GGA-PBE, Alexandria).

Electronic total energy   -2.98 eV/atom

a b c (Å): 4.651 10.473 14.637
angles (deg): 90.00 90.00 90.00
Fractional positions:
Ba1 0.500 0.329 0.581
Ba2 0.000 0.000 0.500
Ba3 0.500 0.829 0.919
Tl1 0.500 0.056 0.321
Tl2 0.500 0.556 0.179
Ba4 0.500 0.671 0.419
Ba5 0.000 0.153 0.813
Ba6 0.000 0.653 0.687
Tl3 0.500 0.944 0.679
Ba7 0.000 0.500 0.000
Pt1 0.000 0.000 0.000
Ba8 0.000 0.347 0.313
Ba9 0.000 0.847 0.187
Pt2 0.000 0.500 0.500
Tl4 0.500 0.444 0.821
Ba10 0.500 0.171 0.081

(10)
# Ba2Tl5Pt3

A relaxed structure of Ba2Tl5Pt3 (GGA-PBE, Alexandria).

Energy above the most stable polymorph in this dataset   0.0000 eV per atom

a b c (Å): 4.776 7.999 14.361
angles (deg): 90.00 99.57 90.00
Fractional positions:
Tl1 0.872 0.742 0.744
Tl2 0.128 0.242 0.256
Ba1 0.176 0.709 0.352
Pt1 0.611 0.534 0.222
Pt2 0.956 0.480 0.911
Pt3 0.770 0.700 0.539
Ba2 0.527 0.280 0.054
Tl3 0.597 0.903 0.193
Pt4 0.389 0.034 0.778
Tl4 0.053 0.609 0.105
Pt5 0.230 0.200 0.461
Tl5 0.709 0.006 0.418
Tl6 0.291 0.506 0.582
Tl7 0.294 0.903 0.588
Ba3 0.824 0.209 0.648
Tl8 0.947 0.109 0.895
Ba4 0.473 0.780 0.946
Tl9 0.706 0.403 0.412
Tl10 0.403 0.403 0.807
Pt6 0.044 0.980 0.089

(11)
# BaTl2Pt

A relaxed structure of BaTl2Pt (GGA-PBE, Alexandria).

Electronic total energy   -3.54 eV/atom

a b c (Å): 4.920 4.920 6.485
angles (deg): 67.62 67.62 59.89
Fractional positions:
Tl1 0.282 0.282 0.153
Ba1 0.493 0.493 0.519
Pt1 0.682 0.682 0.956
Tl2 0.043 0.043 0.872

(12)
# Ba2TlZnPt

A relaxed structure of Ba2TlZnPt (GGA-PBE, Alexandria).

Energy above the most stable polymorph in this dataset   0.1271 eV per atom

a b c (Å): 6.168 6.168 5.260
angles (deg): 90.00 90.00 90.00
Fractional positions:
Zn1 0.500 0.500 0.500
Pt1 0.000 0.000 0.000
Ba1 0.000 0.500 0.000
Tl1 0.000 0.000 0.500
Ba2 0.500 0.000 0.000